Density functional theory data (PBE-GGA) for a relaxed TbEr4Th4 crystal.

Results
- E_tot (eV/f.u.) = -52.17
- theoretical density (Mg/m³) = 10.3
- magnetic moment (Bohr magnetons per cell) = 0.00
- space group = I4/mmm (139)

Lattice parameters (Å, degrees): 5.0281 7.9310 7.9310 84.23 71.52 71.52
With the nearest neighbours (Å) after each atom.
Element x y z (fractional)
1 Er 0.3308 0.6691 0.6693  1 Tb 3.52, 6 Th 3.54-3.55, 5 Er 3.58-3.60
2 Er 0.6692 0.3309 0.3307  1 Tb 3.52, 6 Th 3.54-3.55, 5 Er 3.58-3.60
3 Tb 0.0000 0.0000 0.0000  4 Er 3.52, 8 Th 3.55
4 Th 0.6667 0.6668 0.9999  6 Er 3.54-3.55, 4 Th 3.54-3.55, 2 Tb 3.55
5 Th 0.6666 0.0001 0.6668  6 Er 3.54-3.55, 4 Th 3.54-3.55, 2 Tb 3.55
6 Er 0.9999 0.6693 0.3309  1 Tb 3.52, 6 Th 3.54-3.55, 5 Er 3.58-3.60
7 Th 0.3333 0.3332 0.0001  6 Er 3.54-3.55, 4 Th 3.54-3.55, 2 Tb 3.55
8 Th 0.3334 0.9999 0.3332  6 Er 3.54-3.55, 4 Th 3.54-3.55, 2 Tb 3.55
9 Er 0.0001 0.3307 0.6691  1 Tb 3.52, 6 Th 3.54-3.55, 5 Er 3.58-3.60


Density functional theory data (PBE-GGA) for a relaxed Tb2Er2Th5 crystal.

Results
- E_tot (eV/f.u.) = -54.89
- theoretical density (Mg/m³) = 10.4
- magnetic moment (Bohr magnetons per cell) = 0.00
- space group = P-1 (2)

Lattice parameters (Å, degrees): 6.1844 6.1880 11.4758 63.09 50.96 60.03
With the nearest neighbours (Å) after each atom.
Element x y z (fractional)
1 Th 0.3307 0.8872 0.3328  6 Th 3.53-3.61, 2 Er 3.54-3.56, 4 Tb 3.55-3.61
2 Th 0.6693 0.1128 0.6672  6 Th 3.53-3.61, 2 Er 3.54-3.56, 4 Tb 3.55-3.61
3 Th 0.0032 0.5487 0.3332  6 Th 3.53-3.61, 2 Er 3.55, 4 Tb 3.56-3.62
4 Er 0.3367 0.3317 0.0000  7 Th 3.54-3.58, 2 Tb 3.55, 3 Er 3.55-3.61
5 Tb 0.3293 0.7778 0.6704  9 Th 3.54-3.62, 2 Er 3.55, 1 Tb 3.60
6 Th 0.0000 0.0000 0.0000  2 Tb 3.54, 6 Er 3.55-3.58, 4 Th 3.57-3.58
7 Tb 0.6707 0.2222 0.3296  9 Th 3.54-3.62, 2 Er 3.55, 1 Tb 3.60
8 Er 0.6633 0.6683 0.0000  7 Th 3.54-3.58, 2 Tb 3.55, 3 Er 3.55-3.61
9 Th 0.9968 0.4513 0.6667  6 Th 3.53-3.61, 2 Er 3.55, 4 Tb 3.56-3.62


Density functional theory data (PBE-GGA) for a relaxed Tb9Er3Th2 crystal.

Results
- E_tot (eV/f.u.) = -67.40
- theoretical density (Mg/m³) = 8.6
- magnetic moment (Bohr magnetons per cell) = 0.01
- space group = P1 (1)

Lattice parameters (Å, degrees): 5.6132 12.6856 12.6915 48.01 48.59 48.58
With the nearest neighbours (Å) after each atom.
Element x y z (fractional)
1 Tb 0.1112 0.4663 0.1269  4 Er 3.41-3.77, 8 Tb 3.50-3.81, 1 Th 3.72
2 Tb 0.7152 0.4259 0.7632  6 Tb 3.27-3.64, 1 Er 3.42, 2 Th 3.52-3.53
3 Th 0.4778 0.8311 0.1828  5 Tb 3.29-3.53, 3 Er 3.58-3.62, 1 Th 3.63
4 Tb 0.1097 0.1275 0.4666  4 Er 3.41-3.78, 8 Tb 3.50-3.80, 1 Th 3.72
5 Th 0.4770 0.1826 0.8319  5 Tb 3.30-3.53, 3 Er 3.58-3.62, 1 Th 3.63
6 Tb 0.2718 0.4121 0.4115  1 Er 3.34, 4 Tb 3.41-3.42
7 Er 0.7373 0.0875 0.0874  2 Er 3.36, 4 Tb 3.42-3.49, 4 Th 3.58
8 Tb 0.7136 0.7641 0.4260  6 Tb 3.27-3.63, 1 Er 3.42, 2 Th 3.52-3.53
9 Er 0.8917 0.2026 0.2032  7 Tb 3.34-3.63, 2 Er 3.36, 2 Th 3.62
10 Tb 0.3030 0.7290 0.0683  3 Tb 3.17-3.50, 2 Th 3.29-3.30, 1 Er 3.49
11 Tb 0.3036 0.0680 0.7288  4 Tb 3.17-3.55, 2 Th 3.30-3.31, 1 Er 3.49
12 Tb 0.8989 0.5357 0.8647  4 Tb 3.17-3.40, 1 Er 3.47, 1 Th 3.50
13 Tb 0.8996 0.8643 0.5355  4 Tb 3.17-3.40, 1 Er 3.46, 1 Th 3.50
14 Er 0.0893 0.8034 0.8034  12 Tb 3.41-3.76, 2 Th 3.73